Entry from the Alexandria database: crystalline NaZnNiSn2 at its relaxed geometry (PBE).

Cell: 4.9778 4.9778 4.7500 Å, 90.00 90.00 90.00°
Atoms (fractional coordinates):
Na  0.0000  0.0000  0.0000
Zn  0.5000  0.5000  0.0000
Ni  0.5000  0.5000  0.5000
Sn  0.0000  0.5000  0.5000
Sn  0.5000  0.0000  0.5000

Energy relative to the elements   -2.6 kJ per mole of atoms
Total energy   -3.303 eV/atom
Symmetry   P4/mmm, No. 123